Below is a relaxed structure of Pm7PtRh4, with properties calculated at the PBE level.

Values from the calculation:
The calculation puts the formation energy at -66 kJ/mol of atoms. The value obtained for the magnetic moment is 0.0 μB per cell. As for the crystal system: monoclinic. The calculation puts the density at 8.4 g/cm3. The calculation puts the electronic total energy at -0.471 Ry/atom.

Cell: 7.057 7.057 12.220 Å, 104.42 104.42 32.89°
Fractional positions:
Pm 0.000 0.000 0.000
Pm 0.219 0.219 0.858
Pm 0.302 0.302 0.432
Pm 0.511 0.511 0.284
Pm 0.604 0.604 0.595
Pm 0.760 0.760 0.140
Pm 0.917 0.917 0.692
Pt 0.142 0.142 0.222
Rh 0.260 0.260 0.644
Rh 0.375 0.375 0.065
Rh 0.559 0.559 0.835
Rh 0.960 0.960 0.455